(1)
The following is a DFT calculation (PBE) of a relaxed structure of Na5La3I12.

It has space group Ia-3d (No. 230), with a = 18.7522 Å, b = 18.7522 Å, c = 18.7522 Å, α = 90.00°, β = 90.00° and γ = 90.00°. The inequivalent atoms are Na at (0.0000, 0.0000, 0.0000), Na at (0.0000, 0.2500, 0.3750), La at (0.0000, 0.2500, 0.1250) and I at (0.0224, 0.0699, 0.6531).

The raw formation energy is -1.21 eV/atom.



(2)
The following is a DFT calculation (PBE) of a relaxed structure of BeBiRh3.

It has space group Pm-3m (No. 221), with a = 4.2632 Å, b = 4.2632 Å, c = 4.2632 Å, α = 90.00°, β = 90.00° and γ = 90.00°. The inequivalent atoms are Be at (0.0000, 0.0000, 0.0000), Bi at (0.5000, 0.5000, 0.5000) and Rh at (0.0000, 0.0000, 0.5000).

The energy of formation is -0.0132 eV per atom. As for the energy above the most stable polymorph in this dataset: 0.000 eV/f.u.



(3)
The following is a DFT calculation (PBE) of a relaxed structure of Pm4MgTlZn2.

It has space group R-3m (No. 166, hexagonal axes), with a = 5.3089 Å, b = 5.3089 Å, c = 26.4197 Å, α = 90.00°, β = 90.00° and γ = 120.00°. The inequivalent atoms are Pm at (0.0000, 0.0000, 0.1237), Pm at (0.0000, 0.0000, 0.3748), Mg at (0.0000, 0.0000, 0.0000), Tl at (0.0000, 0.0000, 0.5000) and Zn at (0.0000, 0.0000, 0.2571).

The energy of formation is -0.2566 eV per atom.



no.,size of the total moment (μB per cell),total energy (eV/atom)
1,17.58,-3.207
2,0.00,-5.945
3,0.00,-3.445